Entry 1:
Entry from Alexandria via LeMat-Bulk: Mg3Ag2 after structural relaxation (PBE-GGA).

POSCAR file:
```
Mg3Ag2
1.0
-0.370 -4.639 -7.414
3.259 0.208 -1.093
0.916 -2.422 2.270
Ag Mg
2 3
direct
0.004 0.998 0.002
0.196 0.402 0.598
0.365 0.817 0.183
0.600 0.200 0.800
0.835 0.583 0.417
```

Computed properties:
DOS at the Fermi energy   1.5 states/eV/f.u.
ΔH_f (0 K)   -0.114 eV/atom


Entry 2:
Entry from Alexandria via LeMat-Bulk: Cr2SbRhS after structural relaxation (PBE-GGA).

POSCAR file:
```
Cr2SbRhS
1.0
4.376 0.000 0.000
0.000 4.538 0.000
0.000 0.000 4.376
Cr Sb Rh S
2 1 1 1
direct
0.000 0.000 0.500
0.500 0.000 0.000
0.500 0.500 0.500
0.000 0.500 0.000
0.000 0.000 0.000
```

Computed properties:
ΔE_f (raw)   0.145 eV/atom
DOS at the Fermi energy   4.0 states/eV/f.u.


Entry 3:
Entry from Alexandria via LeMat-Bulk: K2TlInI6 after structural relaxation (PBE-GGA).

POSCAR file:
```
K2TlInI6
1.0
8.611 0.001 0.001
4.306 7.456 0.001
4.306 2.486 7.309
In K I Tl
1 2 6 1
direct
0.324 0.324 0.027
0.533 0.533 0.402
0.021 0.021 0.936
0.113 0.441 0.781
0.441 0.666 0.780
0.199 0.992 0.253
0.992 0.556 0.253
0.556 0.199 0.253
0.666 0.113 0.781
0.817 0.817 0.550
```

Computed properties:
ΔE_f (raw)   -0.899 eV/atom


Entry 4:
Entry from Alexandria via LeMat-Bulk: Zn2CuGe after structural relaxation (PBE-GGA).

POSCAR file:
```
Zn2CuGe
1.0
7.295 0.000 0.000
0.000 7.295 0.000
3.648 3.648 2.515
Ge Zn Cu
2 4 2
direct
0.750 0.250 0.500
0.000 0.000 0.000
0.606 0.125 0.250
0.875 0.856 0.750
0.144 0.625 0.250
0.375 0.394 0.750
0.250 0.750 0.500
0.500 0.500 0.000
```

Computed properties:
DOS at the Fermi energy   1.5 states/eV/f.u.
ΔH_f (0 K)   0.246 eV/atom


Entry 5:
Entry from Alexandria via LeMat-Bulk: Zr5Zn2In after structural relaxation (PBE-GGA).

POSCAR file:
```
Zr5Zn2In
1.0
7.425 0.000 0.000
0.000 7.425 0.000
-3.712 -3.712 6.171
Zr Zn In
10 4 2
direct
0.693 0.193 0.695
0.497 0.307 0.305
0.503 0.693 0.695
0.003 0.503 0.695
0.807 0.997 0.305
0.000 0.000 0.000
0.193 0.003 0.695
0.500 0.500 0.000
0.997 0.497 0.305
0.307 0.807 0.305
0.637 0.137 0.000
0.363 0.863 0.000
0.137 0.363 0.000
0.863 0.637 0.000
0.750 0.750 0.500
0.250 0.250 0.500
```

Computed properties:
DOS at the Fermi energy   9.3 states/eV/f.u.
ΔH_f (0 K)   -0.156 eV/atom


Entry 6:
Entry from Alexandria via LeMat-Bulk: MgRe after structural relaxation (PBE-GGA).

POSCAR file:
```
MgRe
1.0
-3.766 1.862 1.474
-1.111 -0.327 4.299
0.172 3.593 2.623
Re Mg
2 2
direct
0.000 0.000 0.000
0.750 0.750 0.750
0.500 0.500 0.500
0.250 0.250 0.250
```

Computed properties:
DOS at the Fermi energy   0.4 states/eV/f.u.
ΔH_f (0 K)   0.130 eV/atom


Entry 7:
Entry from Alexandria via LeMat-Bulk: Tb8CdSn2 after structural relaxation (PBE-GGA).

POSCAR file:
```
Tb8CdSn2
1.0
5.124 0.000 0.000
0.000 6.819 0.193
-2.562 -2.667 9.324
Cd Sn Tb
1 2 8
direct
0.500 0.000 0.000
0.181 0.755 0.363
0.819 0.245 0.637
0.657 0.996 0.314
0.213 0.319 0.426
0.407 0.522 0.814
0.593 0.478 0.186
0.787 0.681 0.574
0.020 0.770 0.040
0.343 0.004 0.686
0.980 0.230 0.960
```

Computed properties:
DOS at the Fermi energy   12.0 states/eV/f.u.
ΔH_f (0 K)   -0.294 eV/atom


Entry 8:
Entry from Alexandria via LeMat-Bulk: Tb12PmCo6 after structural relaxation (PBE-GGA).

POSCAR file:
```
Tb12PmCo6
1.0
8.014 0.000 -2.833
-4.007 6.940 -2.833
0.000 0.000 8.500
Tb Co Pm
12 6 1
direct
0.691 0.496 0.806
0.806 0.691 0.496
0.691 0.885 0.194
0.309 0.504 0.194
0.885 0.194 0.691
0.115 0.806 0.309
0.194 0.309 0.504
0.504 0.194 0.309
0.496 0.806 0.691
0.309 0.115 0.806
0.806 0.309 0.115
0.194 0.691 0.885
0.887 0.387 0.500
0.500 0.887 0.387
0.387 0.500 0.887
0.613 0.500 0.113
0.500 0.113 0.613
0.113 0.613 0.500
0.000 0.000 0.000
```

Computed properties:
DOS at the Fermi energy   15.9 states/eV/f.u.
ΔH_f (0 K)   -0.125 eV/atom


Entry 9:
Entry from Alexandria via LeMat-Bulk: DyErCoAg after structural relaxation (PBE-GGA).

POSCAR file:
```
DyErCoAg
1.0
-3.658 0.539 3.242
-4.651 -0.794 -1.386
-2.419 -3.948 1.657
Dy Ag Co Er
1 1 1 1
direct
0.500 0.500 0.500
0.750 0.750 0.750
0.250 0.250 0.250
0.000 0.000 0.000
```

Computed properties:
DOS at the Fermi energy   2.9 states/eV/f.u.
ΔH_f (0 K)   -0.194 eV/atom


Entry 10:
Entry from Alexandria via LeMat-Bulk: Ba3NaHf after structural relaxation (PBE-GGA).

POSCAR file:
```
Ba3NaHf
1.0
-6.217 -0.450 -1.966
-0.387 -5.986 2.594
-1.979 2.584 5.668
Ba Hf Na
3 1 1
direct
0.000 0.500 0.000
0.500 0.000 0.000
0.000 0.000 0.500
0.000 0.000 0.000
0.500 0.500 0.500
```

Computed properties:
DOS at the Fermi energy   7.6 states/eV/f.u.
ΔH_f (0 K)   0.670 eV/atom


Entry 11:
Entry from Alexandria via LeMat-Bulk: GdTcP2 after structural relaxation (PBE-GGA).

POSCAR file:
```
GdTcP2
1.0
-3.640 -1.490 -1.139
-0.396 -3.976 -0.893
-2.393 -2.739 3.869
P Gd Tc
2 1 1
direct
0.716 0.716 0.851
0.284 0.284 0.149
0.500 0.500 0.500
0.000 0.000 0.000
```

Computed properties:
DOS at the Fermi energy   1.5 states/eV/f.u.
ΔH_f (0 K)   -0.887 eV/atom


Entry 12:
Entry from Alexandria via LeMat-Bulk: CsCu6As8 after structural relaxation (PBE-GGA).

POSCAR file:
```
CsCu6As8
1.0
6.594 -0.476 1.703
1.200 6.501 1.703
-0.616 -0.476 6.782
As Cu Cs
8 6 1
direct
0.245 0.532 0.845
0.155 0.755 0.468
0.755 0.468 0.155
0.845 0.245 0.532
0.245 0.245 0.245
0.755 0.755 0.755
0.468 0.155 0.755
0.532 0.845 0.245
0.555 0.208 0.382
0.382 0.555 0.208
0.618 0.445 0.792
0.792 0.618 0.445
0.208 0.382 0.555
0.445 0.792 0.618
0.000 0.000 0.000
```

Computed properties:
DOS at the Fermi energy   5.5 states/eV/f.u.
ΔH_f (0 K)   0.078 eV/atom